Record 1
A plane-wave DFT calculation with PBE was carried out for a geometry-optimized Ca4BiAsH structure.

Cell: 8.9399 8.9399 8.9399 Å, 149.94 149.94 43.03°
With the nearest neighbours (Å) after each atom.
Fractional coordinates of all 7 atoms:
Ca 0.0000 0.0000 0.0000  1 H 2.37
Ca 0.1662 0.6662 0.5000  2 H 2.35
Ca 0.3596 0.3596 0.0000  1 As 3.04, 4 Bi 3.38
Ca 0.6662 0.1662 0.5000  2 H 2.35
Bi 0.8092 0.8092 0.0000  9 Ca 3.17-3.38
As 0.5424 0.5424 0.0000  9 Ca 3.04-3.35
H 0.1425 0.1425 0.0000  5 Ca 2.35-2.37

Output
- ρ (g cm⁻³) = 4.134
- Fermi-level density of states (states/eV/cell) = 2.8
- final energy (eV/atom) = -3.676
- space-group type = I4mm (107)

Record 2
A plane-wave DFT calculation with PBE was carried out for a geometry-optimized Mg4NiAu3 structure.

Cell: 3.1962 3.1962 13.4292 Å, 90.00 90.00 90.00°
With the nearest neighbours (Å) after each atom.
Fractional coordinates of all 8 atoms:
Mg 0.0000 0.0000 0.1100  4 Ni 2.70, 4 Au 2.83, 1 Mg 2.95
Mg 0.0000 0.0000 0.3695  8 Au 2.86-2.87, 4 Mg 3.20
Mg 0.0000 0.0000 0.6305  8 Au 2.86-2.87, 4 Mg 3.20
Mg 0.0000 0.0000 0.8900  4 Ni 2.70, 4 Au 2.83, 1 Mg 2.95
Ni 0.5000 0.5000 0.0000  8 Mg 2.70
Au 0.5000 0.5000 0.2373  8 Mg 2.83-2.87
Au 0.5000 0.5000 0.5000  8 Mg 2.86, 4 Au 3.20
Au 0.5000 0.5000 0.7627  8 Mg 2.83-2.87

Output
- ρ (g cm⁻³) = 9.040
- Fermi-level density of states (states/eV/cell) = 3.0
- energy relative to the elements (eV per atom) = -0.476
- final energy (eV/atom) = -3.225
- space-group type = P4/mmm (123)

Record 3
A plane-wave DFT calculation with PBE was carried out for a geometry-optimized Ta2InAsI structure.

Cell: 5.3629 5.3629 6.3018 Å, 90.00 90.00 90.00°
With the nearest neighbours (Å) after each atom.
Fractional coordinates of all 5 atoms:
Ta 0.0000 0.5000 0.0000  2 I 2.68
Ta 0.5000 0.0000 0.0000  2 I 2.68
In 0.0000 0.0000 0.5000  2 I 3.15
As 0.5000 0.5000 0.5000  4 In 3.79, 8 Ta 4.14
I 0.0000 0.0000 0.0000  4 Ta 2.68

Output
- ρ (g cm⁻³) = 6.217
- Fermi-level density of states (states/eV/cell) = 7.3
- final energy (eV/atom) = -4.288
- space-group type = P4/mmm (123)
- raw formation energy (eV/atom) = 2.24

Record 4
A plane-wave DFT calculation with PBE was carried out for a geometry-optimized LiTbCd structure.

Cell: 4.9942 4.9942 3.2515 Å, 90.00 90.00 120.00°
With the nearest neighbours (Å) after each atom.
Fractional coordinates of all 3 atoms:
Li 0.0000 0.0000 0.0000  3 Cd 2.88
Tb 0.6667 0.3333 0.5010  2 Tb 3.25, 6 Li 3.31, 6 Cd 3.31
Cd 0.3333 0.6667 0.0016  3 Li 2.88

Output
- ρ (g cm⁻³) = 6.579
- Fermi-level density of states (states/eV/cell) = 2.2
- energy relative to the elements (eV per atom) = -0.168
- E above lowest polymorph (eV per atom) = 0.000
- final energy (eV/atom) = -2.654
- space-group type = P3m1 (156)

Record 5
A plane-wave DFT calculation with PBE was carried out for a geometry-optimized Mg2TaMo structure.

Cell: 10.2072 10.2072 10.2072 Å, 16.30 16.30 16.30°
With the nearest neighbours (Å) after each atom.
Fractional coordinates of all 4 atoms:
Mg 0.2468 0.2468 0.2468  6 Mg 2.89, 3 Mo 2.94, 3 Ta 3.10
Mg 0.7532 0.7532 0.7532  6 Mg 2.89, 3 Mo 2.94, 3 Ta 3.10
Ta 0.0000 0.0000 0.0000  6 Ta 2.89, 6 Mg 3.10
Mo 0.5000 0.5000 0.5000  6 Mo 2.89, 6 Mg 2.94

Output
- ρ (g cm⁻³) = 7.404
- Fermi-level density of states (states/eV/cell) = 5.1
- energy relative to the elements (eV per atom) = 0.392
- E above lowest polymorph (eV per atom) = 0.243
- final energy (eV/atom) = -6.076
- space-group type = R-3m (166)

Record 6
A plane-wave DFT calculation with PBE was carried out for a geometry-optimized LaDyS2 structure.

Cell: 7.3376 7.3376 7.3376 Å, 31.22 31.22 31.22°
With the nearest neighbours (Å) after each atom.
Fractional coordinates of all 4 atoms:
La 0.0000 0.0000 0.0000  6 S 2.90-3.04
Dy 0.8226 0.8226 0.8226  6 S 2.72-2.85
S 0.2374 0.2374 0.2374  3 Dy 2.85, 3 La 3.04
S 0.4187 0.4187 0.4187  3 Dy 2.72, 3 La 2.90

Output
- ρ (g cm⁻³) = 6.446
- Fermi-level density of states (states/eV/cell) = 0.9
- E above lowest polymorph (eV per atom) = 0.065
- final energy (eV/atom) = -6.469
- space-group type = R3m (160)
- raw formation energy (eV/atom) = -2.02